# MgBN2 GGA-PBE optimized geometry
data_MgBN2
_chemical_formula_sum 'Mg2 B2 N4'
_symmetry_space_group_name_H-M 'P 1'
_symmetry_Int_Tables_number 1
_cell_length_a 4.640
_cell_length_b 4.640
_cell_length_c 4.552
_cell_angle_alpha 59.36
_cell_angle_beta 59.36
_cell_angle_gamma 90.00
loop_
_symmetry_equiv_pos_as_xyz
'x,y,z'
loop_
_atom_site_label
_atom_site_type_symbol
_atom_site_fract_x
_atom_site_fract_y
_atom_site_fract_z
Mg1 Mg 0.000 0.000 0.000
Mg2 Mg 0.750 0.250 0.500
B1 B 0.500 0.500 0.000
B2 B 0.250 0.750 0.500
N1 N 0.527 0.125 0.250
N2 N 0.223 0.625 0.250
N3 N 0.375 0.473 0.750
N4 N 0.875 0.777 0.750
# Calculated volume: 8.5 Å³ per atom
# Offset from the most stable computed form: 57 meV/atom
# Energy: -6.666 eV/atom
# Total moment: 0.00 Bohr magnetons per cell
# Uncorrected formation energy: -436 meV/atom

=====

# NaMgBN2 GGA-PBE optimized geometry
data_NaMgBN2
_chemical_formula_sum 'Na2 Mg2 B2 N4'
_symmetry_space_group_name_H-M 'P 1'
_symmetry_Int_Tables_number 1
_cell_length_a 4.699
_cell_length_b 5.013
_cell_length_c 5.963
_cell_angle_alpha 90.08
_cell_angle_beta 90.00
_cell_angle_gamma 90.00
loop_
_symmetry_equiv_pos_as_xyz
'x,y,z'
loop_
_atom_site_label
_atom_site_type_symbol
_atom_site_fract_x
_atom_site_fract_y
_atom_site_fract_z
Na1 Na 0.002 0.500 0.750
Na2 Na 0.998 0.500 0.250
Mg1 Mg 0.500 0.000 0.250
Mg2 Mg 0.500 0.000 0.750
B1 B 0.000 0.000 0.000
B2 B 0.000 0.000 0.500
N1 N 0.771 0.837 0.000
N2 N 0.771 0.163 0.500
N3 N 0.229 0.837 0.500
N4 N 0.229 0.163 0.000
# Calculated volume: 14.0 Å³ per atom
# Energy: -6.001 eV/atom
# Total moment: 0.00 Bohr magnetons per cell
# Uncorrected formation energy: -753 meV/atom

=====

# MgBN2O GGA-PBE optimized geometry
data_MgBN2O
_chemical_formula_sum 'Mg1 B1 N2 O1'
_symmetry_space_group_name_H-M 'P 1'
_symmetry_Int_Tables_number 1
_cell_length_a 4.216
_cell_length_b 4.216
_cell_length_c 3.838
_cell_angle_alpha 90.00
_cell_angle_beta 90.00
_cell_angle_gamma 90.00
loop_
_symmetry_equiv_pos_as_xyz
'x,y,z'
loop_
_atom_site_label
_atom_site_type_symbol
_atom_site_fract_x
_atom_site_fract_y
_atom_site_fract_z
Mg1 Mg 0.000 0.000 0.000
B1 B 0.500 0.500 0.500
O1 O 0.000 0.000 0.500
N1 N 0.000 0.500 0.000
N2 N 0.500 0.000 0.000
# Calculated volume: 13.6 Å³ per atom
# Energy: -4.005 eV/atom
# Total moment: 5.00 Bohr magnetons per cell
# Uncorrected formation energy: 1971 meV/atom

=====

# MgBN2O GGA-PBE optimized geometry
data_MgBN2O
_chemical_formula_sum 'Mg1 B1 N2 O1'
_symmetry_space_group_name_H-M 'P 1'
_symmetry_Int_Tables_number 1
_cell_length_a 2.975
_cell_length_b 2.975
_cell_length_c 6.382
_cell_angle_alpha 90.00
_cell_angle_beta 90.00
_cell_angle_gamma 90.00
loop_
_symmetry_equiv_pos_as_xyz
'x,y,z'
loop_
_atom_site_label
_atom_site_type_symbol
_atom_site_fract_x
_atom_site_fract_y
_atom_site_fract_z
Mg1 Mg 0.500 0.500 0.500
B1 B 0.000 0.000 0.000
O1 O 0.000 0.000 0.500
N1 N 0.000 0.500 0.000
N2 N 0.500 0.000 0.000
# Calculated volume: 11.3 Å³ per atom
# Energy: -6.053 eV/atom
# Total moment: 0.49 Bohr magnetons per cell
# Uncorrected formation energy: -77 meV/atom

=====

# Mg2BPN GGA-PBE optimized geometry
data_Mg2BPN
_chemical_formula_sum 'Mg2 B1 P1 N1'
_symmetry_space_group_name_H-M 'P 1'
_symmetry_Int_Tables_number 1
_cell_length_a 4.476
_cell_length_b 3.523
_cell_length_c 4.476
_cell_angle_alpha 90.00
_cell_angle_beta 90.00
_cell_angle_gamma 90.00
loop_
_symmetry_equiv_pos_as_xyz
'x,y,z'
loop_
_atom_site_label
_atom_site_type_symbol
_atom_site_fract_x
_atom_site_fract_y
_atom_site_fract_z
P1 P 0.000 0.500 0.000
Mg1 Mg 0.000 0.000 0.500
Mg2 Mg 0.500 0.000 0.000
B1 B 0.000 0.000 0.000
N1 N 0.500 0.500 0.500
# Calculated volume: 14.1 Å³ per atom
# Energy: -3.944 eV/atom
# Total moment: 0.22 Bohr magnetons per cell
# Uncorrected formation energy: 776 meV/atom

=====

# MgB2PN4 GGA-PBE optimized geometry
data_MgB2PN4
_chemical_formula_sum 'Mg1 B2 P1 N4'
_symmetry_space_group_name_H-M 'P 1'
_symmetry_Int_Tables_number 1
_cell_length_a 4.071
_cell_length_b 4.071
_cell_length_c 4.829
_cell_angle_alpha 114.92
_cell_angle_beta 114.92
_cell_angle_gamma 90.02
loop_
_symmetry_equiv_pos_as_xyz
'x,y,z'
loop_
_atom_site_label
_atom_site_type_symbol
_atom_site_fract_x
_atom_site_fract_y
_atom_site_fract_z
Mg1 Mg 0.000 0.000 0.000
B1 B 0.750 0.250 0.500
B2 B 0.250 0.750 0.500
P1 P 0.500 0.500 0.000
N1 N 0.577 0.577 0.713
N2 N 0.423 0.864 0.287
N3 N 0.864 0.423 0.287
N4 N 0.136 0.136 0.713
# Calculated volume: 8.0 Å³ per atom
# Energy: -7.032 eV/atom
# Total moment: 0.00 Bohr magnetons per cell
# Uncorrected formation energy: -325 meV/atom

=====

# MgPa2BN5 GGA-PBE optimized geometry
data_MgPa2BN5
_chemical_formula_sum 'Mg2 Pa4 B2 N10'
_symmetry_space_group_name_H-M 'P 1'
_symmetry_Int_Tables_number 1
_cell_length_a 3.247
_cell_length_b 6.781
_cell_length_c 9.614
_cell_angle_alpha 90.00
_cell_angle_beta 90.00
_cell_angle_gamma 103.85
loop_
_symmetry_equiv_pos_as_xyz
'x,y,z'
loop_
_atom_site_label
_atom_site_type_symbol
_atom_site_fract_x
_atom_site_fract_y
_atom_site_fract_z
Mg1 Mg 0.815 0.630 0.522
Mg2 Mg 0.185 0.370 0.022
Pa1 Pa 0.863 0.726 0.830
Pa2 Pa 0.117 0.234 0.687
Pa3 Pa 0.137 0.274 0.330
Pa4 Pa 0.883 0.766 0.187
B1 B 0.552 0.104 0.917
B2 B 0.448 0.896 0.417
N1 N 0.345 0.690 0.018
N2 N 0.666 0.332 0.869
N3 N 0.490 0.979 0.784
N4 N 0.294 0.588 0.693
N5 N 0.977 0.953 0.502
N6 N 0.655 0.310 0.518
N7 N 0.334 0.668 0.369
N8 N 0.510 0.021 0.284
N9 N 0.706 0.412 0.193
N10 N 0.023 0.047 0.002
# Calculated volume: 11.4 Å³ per atom
# Energy: -8.728 eV/atom
# Total moment: 0.00 Bohr magnetons per cell
# Uncorrected formation energy: -1074 meV/atom

=====

# Pr3MgB2N6 GGA-PBE optimized geometry
data_Pr3MgB2N6
_chemical_formula_sum 'Pr3 Mg1 B2 N6'
_symmetry_space_group_name_H-M 'P 1'
_symmetry_Int_Tables_number 1
_cell_length_a 5.508
_cell_length_b 5.508
_cell_length_c 6.232
_cell_angle_alpha 90.00
_cell_angle_beta 90.00
_cell_angle_gamma 120.00
loop_
_symmetry_equiv_pos_as_xyz
'x,y,z'
loop_
_atom_site_label
_atom_site_type_symbol
_atom_site_fract_x
_atom_site_fract_y
_atom_site_fract_z
Pr1 Pr 0.333 0.667 0.659
Pr2 Pr 0.667 0.333 0.341
Pr3 Pr 0.000 0.000 0.000
Mg1 Mg 0.000 0.000 0.500
B1 B 0.667 0.333 0.747
B2 B 0.333 0.667 0.253
N1 N 0.636 0.818 0.284
N2 N 0.182 0.364 0.284
N3 N 0.182 0.818 0.284
N4 N 0.818 0.636 0.716
N5 N 0.364 0.182 0.716
N6 N 0.818 0.182 0.716
# Calculated volume: 13.6 Å³ per atom
# Energy: -7.605 eV/atom
# Total moment: 0.00 Bohr magnetons per cell
# Uncorrected formation energy: -1002 meV/atom

=====

What is the energy in the third record? -4.005 eV/atom